Entry 1:
A crystal of InFeSi2 relaxed with PBEsol, computed with SCAN.

POSCAR file:
```
InFeSi2
1.0
2.8020 0.0000 0.0000
0.0000 2.8020 0.0000
0.0000 0.0000 7.6338
In Fe Si
1 1 2
Cartesian
0.0000 0.0000 0.0000 In
0.0000 0.0000 3.8169 Fe
1.4010 1.4010 2.4592 Si
1.4010 1.4010 5.1747 Si
```

Output
formation energy without anion corrections: 0.183 eV/atom
SG: P4/mmm (123)

=====

Entry 2:
A crystal of Rb2HfGeTe relaxed with PBEsol, computed with SCAN.

POSCAR file:
```
Rb2HfGeTe
1.0
6.9072 0.0000 0.0000
0.0000 6.9072 0.0000
0.0000 0.0000 4.9114
Rb Hf Ge Te
2 1 1 1
Cartesian
0.0000 3.4536 0.0000 Rb
3.4536 0.0000 0.0000 Rb
0.0000 0.0000 0.0000 Hf
0.0000 0.0000 2.4557 Ge
3.4536 3.4536 2.4557 Te
```

Output
formation energy without anion corrections: 0.639 eV/atom
SG: P4/mmm (123)

=====

Entry 3:
A crystal of TiZn16 relaxed with PBEsol, computed with SCAN.

POSCAR file:
```
TiZn16
1.0
3.7875 -5.5730 0.0000
3.7875 5.5730 0.0000
0.0000 0.0000 11.4594
Ti Zn
2 32
Cartesian
3.7875 5.0574 8.5946 Ti
3.7875 -5.0574 2.8649 Ti
0.0000 0.0000 0.0000 Zn
0.0000 0.0000 5.7297 Zn
2.5166 3.4914 6.5351 Zn
2.5166 3.4914 10.6540 Zn
3.7875 3.5926 1.6060 Zn
3.7875 3.5926 4.1237 Zn
2.5357 1.5841 2.8649 Zn
2.2174 0.6054 7.2699 Zn
2.2174 0.6054 9.9192 Zn
3.7875 2.3420 8.5946 Zn
2.2174 -0.6054 1.5402 Zn
2.2174 -0.6054 4.1895 Zn
5.0584 3.4914 6.5351 Zn
5.0584 3.4914 10.6540 Zn
3.7875 1.3135 0.3655 Zn
3.7875 1.3135 5.3643 Zn
2.5357 -1.5841 8.5946 Zn
5.0394 1.5841 2.8649 Zn
3.7875 -1.3135 6.0952 Zn
3.7875 -1.3135 11.0940 Zn
2.5166 -3.4914 0.8054 Zn
2.5166 -3.4914 4.9243 Zn
5.3577 0.6054 7.2699 Zn
5.3577 0.6054 9.9192 Zn
3.7875 -2.3420 2.8649 Zn
5.3577 -0.6054 1.5402 Zn
5.3577 -0.6054 4.1895 Zn
5.0394 -1.5841 8.5946 Zn
3.7875 -3.5926 7.3357 Zn
3.7875 -3.5926 9.8534 Zn
5.0584 -3.4914 0.8054 Zn
5.0584 -3.4914 4.9243 Zn
```

Output
SG: Cmcm (63)
DFT formation energy: -0.0798 eV/atom

=====

Entry 4:
A crystal of CoNiSb relaxed with PBEsol, computed with SCAN.

POSCAR file:
```
CoNiSb
1.0
4.0207 0.0000 0.0000
-2.0103 3.4820 0.0000
0.0000 0.0000 2.9710
Co Ni Sb
1 1 1
Cartesian
0.0000 0.0000 0.0000 Co
0.0000 2.3213 1.6962 Ni
2.0103 1.1607 0.8455 Sb
```

Output
formation energy without anion corrections: 0.301 eV/atom
SG: P3m1 (156)

=====

Entry 5:
A crystal of SrRhAu2N relaxed with PBEsol, computed with SCAN.

POSCAR file:
```
SrRhAu2N
1.0
4.9375 0.0000 0.0000
0.0000 4.9375 0.0000
0.0000 0.0000 5.5293
Sr Rh Au N
1 1 2 1
Cartesian
0.0000 0.0000 0.0000 Sr
0.0000 0.0000 2.7647 Rh
0.0000 2.4687 2.7647 Au
2.4687 0.0000 2.7647 Au
2.4687 2.4687 0.0000 N
```

Output
formation energy without anion corrections: 1.019 eV/atom
SG: P4/mmm (123)

=====

Entry 6:
A crystal of MnTcRu2 relaxed with PBEsol, computed with SCAN.

POSCAR file:
```
MnTcRu2
1.0
-1.8713 1.8713 3.6941
1.8713 -1.8713 3.6941
1.8713 1.8713 -3.6941
Mn Tc Ru
1 1 2
Cartesian
0.0000 0.0000 0.0000 Mn
0.0000 0.0000 3.6941 Tc
1.8713 0.0000 1.8471 Ru
0.0000 1.8713 1.8471 Ru
```

Output
relative energy among the computed polymorphs: 0 meV per atom
SG: I4/mmm (139)
DFT formation energy: -0.0055 eV/atom